# PBE VSbPt6, relaxed
# uncorrected formation energy: -0.31 eV per atom
# magnetic moment: 1.88 μB/cell
data_VSbPt6
_chemical_formula_sum 'V1 Sb1 Pt6'
_cell_length_a 3.982
_cell_length_b 3.982
_cell_length_c 8.111
_cell_angle_alpha 90.00
_cell_angle_beta 90.00
_cell_angle_gamma 90.00
_symmetry_space_group_name_H-M 'P 4/m m m'
_symmetry_Int_Tables_number 123
_symmetry_space_group_name_Hall '-P 4 2'
loop_
_atom_site_label
_atom_site_type_symbol
_atom_site_fract_x
_atom_site_fract_y
_atom_site_fract_z
V1 V 0.000 0.000 0.000
Sb1 Sb 0.000 0.000 0.500
Pt1 Pt 0.000 0.500 0.235
Pt2 Pt 0.500 0.500 0.000
Pt3 Pt 0.500 0.500 0.500